DFT (PBE-GGA) results for an optimized crystal structure of PmInI4.

Cell and atoms, written as CIF:
```
data_PmInI4
_chemical_formula_sum 'Pm2 In2 I8'
_cell_length_a 4.622
_cell_length_b 8.674
_cell_length_c 15.129
_cell_angle_alpha 90.54
_cell_angle_beta 90.00
_cell_angle_gamma 90.00
_space_group_name_H-M_alt 'P 1'
_space_group_IT_number 1
loop_
_space_group_symop_operation_xyz
'x,y,z'
loop_
_atom_site_label
_atom_site_type_symbol
_atom_site_fract_x
_atom_site_fract_y
_atom_site_fract_z
I1 I 0.500 0.789 0.617
I2 I 0.000 0.357 0.617
I3 I 0.000 0.289 0.117
I4 I 0.500 0.143 0.883
I5 I 0.500 0.857 0.117
I6 I 0.000 0.711 0.883
I7 I 0.000 0.643 0.383
I8 I 0.500 0.211 0.383
In1 In 0.500 0.500 0.000
In2 In 0.000 0.000 0.500
Pm1 Pm 0.500 0.500 0.500
Pm2 Pm 0.000 0.000 0.000
```

As for the space-group type: C2/m, No. 12. As for the density: 4.20 g cm⁻³.


DFT (PBE-GGA) results for an optimized crystal structure of PmIn4I7.

Cell and atoms, written as CIF:
```
data_PmIn4I7
_chemical_formula_sum 'Pm1 In4 I7'
_cell_length_a 5.996
_cell_length_b 8.510
_cell_length_c 12.329
_cell_angle_alpha 115.36
_cell_angle_beta 104.07
_cell_angle_gamma 90.00
_space_group_name_H-M_alt 'P 1'
_space_group_IT_number 1
loop_
_space_group_symop_operation_xyz
'x,y,z'
loop_
_atom_site_label
_atom_site_type_symbol
_atom_site_fract_x
_atom_site_fract_y
_atom_site_fract_z
Pm1 Pm 0.000 0.000 0.000
In1 In 0.581 0.519 0.161
In2 In 0.690 0.108 0.380
In3 In 0.419 0.481 0.839
In4 In 0.310 0.892 0.620
I1 I 0.275 0.219 0.551
I2 I 0.118 0.358 0.235
I3 I 0.916 0.191 0.831
I4 I 0.500 0.000 0.000
I5 I 0.084 0.809 0.169
I6 I 0.725 0.781 0.449
I7 I 0.882 0.642 0.765
```

As for the space-group type: C2/m, No. 12. As for the density: 4.53 g cm⁻³.


DFT (PBE-GGA) results for an optimized crystal structure of Pm3InI7.

Cell and atoms, written as CIF:
```
data_Pm3InI7
_chemical_formula_sum 'Pm3 In1 I7'
_cell_length_a 7.165
_cell_length_b 8.929
_cell_length_c 8.929
_cell_angle_alpha 120.00
_cell_angle_beta 90.00
_cell_angle_gamma 90.00
_space_group_name_H-M_alt 'P 1'
_space_group_IT_number 1
loop_
_space_group_symop_operation_xyz
'x,y,z'
loop_
_atom_site_label
_atom_site_type_symbol
_atom_site_fract_x
_atom_site_fract_y
_atom_site_fract_z
I1 I 0.044 0.172 0.828
I2 I 0.044 0.172 0.344
I3 I 0.544 0.833 0.665
I4 I 0.035 0.667 0.333
I5 I 0.544 0.833 0.167
I6 I 0.044 0.656 0.828
I7 I 0.544 0.335 0.167
Pm1 Pm 0.779 0.494 0.988
Pm2 Pm 0.779 0.012 0.506
Pm3 Pm 0.779 0.494 0.506
In1 In 0.478 0.333 0.667
```

As for the space-group type: P3m1, No. 156. As for the density: 4.83 g cm⁻³.


DFT (PBE-GGA) results for an optimized crystal structure of PmInI4.

Cell and atoms, written as CIF:
```
data_PmInI4
_chemical_formula_sum 'Pm2 In2 I8'
_cell_length_a 9.894
_cell_length_b 9.147
_cell_length_c 9.809
_cell_angle_alpha 117.79
_cell_angle_beta 120.29
_cell_angle_gamma 90.00
_space_group_name_H-M_alt 'P 1'
_space_group_IT_number 1
loop_
_space_group_symop_operation_xyz
'x,y,z'
loop_
_atom_site_label
_atom_site_type_symbol
_atom_site_fract_x
_atom_site_fract_y
_atom_site_fract_z
I1 I 0.286 0.294 0.571
I2 I 0.714 0.223 0.429
I3 I 0.718 0.247 0.994
I4 I 0.276 0.247 0.994
I5 I 0.282 0.753 0.006
I6 I 0.714 0.706 0.429
I7 I 0.724 0.753 0.006
I8 I 0.286 0.777 0.571
In1 In 0.500 0.000 0.500
In2 In 0.000 0.000 0.500
Pm1 Pm 0.500 0.000 0.000
Pm2 Pm 0.500 0.500 0.000
```

As for the space-group type: Imma, No. 74. As for the density: 3.95 g cm⁻³.


DFT (PBE-GGA) results for an optimized crystal structure of Pm3InI3.

Cell and atoms, written as CIF:
```
data_Pm3InI3
_chemical_formula_sum 'Pm12 In4 I12'
_cell_length_a 10.983
_cell_length_b 10.982
_cell_length_c 10.981
_cell_angle_alpha 109.47
_cell_angle_beta 109.48
_cell_angle_gamma 109.48
_space_group_name_H-M_alt 'P 1'
_space_group_IT_number 1
loop_
_space_group_symop_operation_xyz
'x,y,z'
loop_
_atom_site_label
_atom_site_type_symbol
_atom_site_fract_x
_atom_site_fract_y
_atom_site_fract_z
Pm1 Pm 0.759 0.009 0.018
Pm2 Pm 0.759 0.750 0.241
Pm3 Pm 0.250 0.009 0.491
Pm4 Pm 0.518 0.259 0.009
Pm5 Pm 0.991 0.241 0.482
Pm6 Pm 0.509 0.491 0.750
Pm7 Pm 0.991 0.750 0.009
Pm8 Pm 0.741 0.482 0.491
Pm9 Pm 0.250 0.241 0.259
Pm10 Pm 0.509 0.018 0.259
Pm11 Pm 0.741 0.259 0.750
Pm12 Pm 0.982 0.491 0.241
I1 I 0.012 0.506 0.756
I2 I 0.256 0.744 0.250
I3 I 0.494 0.988 0.744
I4 I 0.244 0.250 0.756
I5 I 0.488 0.744 0.994
I6 I 0.244 0.994 0.988
I7 I 0.494 0.506 0.250
I8 I 0.006 0.756 0.512
I9 I 0.256 0.512 0.506
I10 I 0.006 0.250 0.994
I11 I 0.750 0.756 0.744
I12 I 0.750 0.994 0.506
In1 In 0.750 0.250 0.250
In2 In 0.000 0.000 0.250
In3 In 0.500 0.250 0.500
In4 In 0.750 0.500 0.000
```

As for the space-group type: I4_132, No. 214. As for the density: 6.06 g cm⁻³.


DFT (PBE-GGA) results for an optimized crystal structure of Pm2InI2.

Cell and atoms, written as CIF:
```
data_Pm2InI2
_chemical_formula_sum 'Pm2 In1 I2'
_cell_length_a 4.234
_cell_length_b 4.234
_cell_length_c 12.548
_cell_angle_alpha 80.29
_cell_angle_beta 80.29
_cell_angle_gamma 60.00
_space_group_name_H-M_alt 'P 1'
_space_group_IT_number 1
loop_
_space_group_symop_operation_xyz
'x,y,z'
loop_
_atom_site_label
_atom_site_type_symbol
_atom_site_fract_x
_atom_site_fract_y
_atom_site_fract_z
I1 I 0.778 0.778 0.667
I2 I 0.222 0.222 0.333
In1 In 0.000 0.000 0.000
Pm1 Pm 0.611 0.611 0.167
Pm2 Pm 0.389 0.389 0.833
```

As for the space-group type: R-3m, No. 166. As for the density: 5.72 g cm⁻³.


E list, top to bottom, in eV/atom: -3.367 -2.937 -3.597 -3.369 -4.068 -4.030